# TcAsSe (GGA-PBE, relaxed)
# E   -18.88 eV per cell
# Formation energy without anion corrections   -0.13 eV per atom
data_TcAsSe
_chemical_formula_sum 'Tc1 As1 Se1'
_cell_length_a 3.1606
_cell_length_b 3.1606
_cell_length_c 7.1611
_cell_angle_alpha 90.00
_cell_angle_beta 90.00
_cell_angle_gamma 120.00
_symmetry_space_group_name_H-M 'P 3 m 1'
_symmetry_Int_Tables_number 156
loop_
_symmetry_equiv_pos_as_xyz
'x,y,z'
'-y,x-y,z'
'-x+y,-x,z'
'-y,-x,z'
'-x+y,y,z'
'x,x-y,z'
loop_
_atom_site_label
_atom_site_fract_x
_atom_site_fract_y
_atom_site_fract_z
_atom_site_occupancy
Tc1 0.0000 0.0000 0.0000 1
As1 0.6667 0.3333 0.2577 1
Se1 0.3333 0.6667 0.7617 1